Model w:
Compound: U2ReSb
Source: Alexandria
Functional: PBE
Structure: relaxed

a = 3.0908 Å, b = 3.0908 Å, c = 30.1350 Å
α = 90.00°, β = 90.00°, γ = 120.00°
Space group R-3m (No. 166, hexagonal axes)
Asymmetric unit:
U1 0.0000 0.0000 0.2418
Re1 0.0000 0.0000 0.5000
Sb1 0.0000 0.0000 0.0000

Calculated values
DOS(E_F) = 21.72 states/eV/cell
calculated volume = 249 Å³/cell

Model x:
Compound: U2ReSb
Source: Alexandria
Functional: PBE
Structure: relaxed

a = 3.796 Å, b = 3.796 Å, c = 5.946 Å
α = 90.00°, β = 90.00°, γ = 90.00°
Space group P4/mmm (No. 123)
Asymmetric unit:
U1 0.000 0.000 0.212
Re1 0.500 0.500 0.000
Sb1 0.500 0.500 0.500

Calculated values
DOS(E_F) = 6.92 states/eV/cell
calculated volume = 86 Å³/cell

Stability order, top to bottom: model x, model w

Model w:
Compound: ReSb2W
Source: Alexandria
Functional: PBE
Structure: relaxed

a = 4.334 Å, b = 4.334 Å, c = 8.026 Å
α = 90.00°, β = 90.00°, γ = 90.00°
Space group I-4m2 (No. 119)
Asymmetric unit:
Re1 0.000 0.000 0.000
Sb1 0.000 0.000 0.500
Sb2 0.000 0.500 0.750
W1 0.000 0.500 0.250

Calculated values
DOS(E_F) = 8.55 states/eV/cell
calculated volume = 151 Å³/cell

Model x:
Compound: ReSb2W
Source: Alexandria
Functional: PBE
Structure: relaxed

a = 3.302 Å, b = 3.302 Å, c = 6.602 Å
α = 90.00°, β = 90.00°, γ = 90.00°
Space group P4/mmm (No. 123)
Asymmetric unit:
Re1 0.000 0.000 0.000
Sb1 0.500 0.500 0.249
W1 0.000 0.000 0.500

Calculated values
DOS(E_F) = 3.50 states/eV/cell
calculated volume = 72 Å³/cell

Model y:
Compound: ReSb2W
Source: Alexandria
Functional: PBE
Structure: relaxed

a = 4.690 Å, b = 3.146 Å, c = 5.452 Å
α = 90.00°, β = 112.81°, γ = 90.00°
Space group P2/m (No. 10)
Asymmetric unit:
Re1 0.000 0.000 0.000
Sb1 0.500 0.000 0.500
Sb2 0.500 0.500 0.000
W1 0.000 0.500 0.500

Calculated values
DOS(E_F) = 3.77 states/eV/cell
calculated volume = 74 Å³/cell

Stability order, top to bottom: model x, model y, model w

Model w:
Compound: ReSb2W
Source: Alexandria
Functional: PBE
Structure: relaxed

a = 3.205 Å, b = 4.830 Å, c = 4.791 Å
α = 90.00°, β = 90.00°, γ = 90.00°
Space group Pmm2 (No. 25)
Asymmetric unit:
Re1 0.000 0.000 0.000
Sb1 0.000 0.500 0.725
Sb2 0.500 0.000 0.487
W1 0.500 0.500 0.208

Calculated values
DOS(E_F) = 2.80 states/eV/cell
calculated volume = 74 Å³/cell

Model x:
Compound: ReSb2W
Source: Alexandria
Functional: PBE
Structure: relaxed

a = 6.603 Å, b = 6.603 Å, c = 6.603 Å
α = 90.00°, β = 90.00°, γ = 90.00°
Space group Fm-3m (No. 225)
Asymmetric unit:
Re1 0.000 0.000 0.000
Sb1 0.250 0.250 0.250
W1 0.000 0.000 0.500

Calculated values
DOS(E_F) = 10.99 states/eV/cell
calculated volume = 288 Å³/cell

Model y:
Compound: ReSb2W
Source: Alexandria
Functional: PBE
Structure: relaxed

a = 3.1458 Å, b = 3.1458 Å, c = 25.9769 Å
α = 90.00°, β = 90.00°, γ = 120.00°
Space group R-3m (No. 166, hexagonal axes)
Asymmetric unit:
Re1 0.0000 0.0000 0.0000
Sb1 0.0000 0.0000 0.2522
W1 0.0000 0.0000 0.5000

Calculated values
DOS(E_F) = 15.77 states/eV/cell
calculated volume = 223 Å³/cell

Stability order, top to bottom: model w, model x, model y

Model w:
Compound: ReSb2W
Source: Alexandria
Functional: PBE
Structure: relaxed

a = 6.735 Å, b = 6.735 Å, c = 6.735 Å
α = 90.00°, β = 90.00°, γ = 90.00°
Space group F-43m (No. 216)
Asymmetric unit:
Re1 0.000 0.000 0.000
Sb1 0.000 0.000 0.500
Sb2 0.250 0.250 0.750
W1 0.250 0.250 0.250

Calculated values
DOS(E_F) = 10.28 states/eV/cell
calculated volume = 306 Å³/cell

Model x:
Compound: ReSb2W
Source: Alexandria
Functional: PBE
Structure: relaxed

a = 3.1259 Å, b = 3.1259 Å, c = 31.9183 Å
α = 90.00°, β = 90.00°, γ = 120.00°
Space group R3m (No. 160, hexagonal axes)
Asymmetric unit:
Re1 0.0000 0.0000 0.0000
Sb1 0.0000 0.0000 0.2646
Sb2 0.0000 0.0000 0.4651
W1 0.0000 0.0000 0.7270

Calculated values
DOS(E_F) = 5.17 states/eV/cell
calculated volume = 270 Å³/cell

Stability order, top to bottom: model x, model w

Model w:
Compound: YReSb2
Source: Alexandria
Functional: PBE
Structure: relaxed

a = 3.4244 Å, b = 3.4244 Å, c = 28.5239 Å
α = 90.00°, β = 90.00°, γ = 120.00°
Space group R3m (No. 160, hexagonal axes)
Asymmetric unit:
Y1 0.0000 0.0000 0.0000
Re1 0.0000 0.0000 0.7443
Sb1 0.0000 0.0000 0.2430
Sb2 0.0000 0.0000 0.4762

Calculated values
DOS(E_F) = 9.14 states/eV/cell
calculated volume = 290 Å³/cell

Model x:
Compound: YReSb2
Source: Alexandria
Functional: PBE
Structure: relaxed

a = 3.362 Å, b = 5.427 Å, c = 10.379 Å
α = 90.00°, β = 90.00°, γ = 90.00°
Space group Immm (No. 71)
Asymmetric unit:
Y1 0.000 0.000 0.000
Re1 0.000 0.000 0.500
Sb1 0.000 0.500 0.203

Calculated values
DOS(E_F) = 5.34 states/eV/cell
calculated volume = 189 Å³/cell

Model y:
Compound: YReSb2
Source: Alexandria
Functional: PBE
Structure: relaxed

a = 7.074 Å, b = 7.074 Å, c = 7.074 Å
α = 90.00°, β = 90.00°, γ = 90.00°
Space group F-43m (No. 216)
Asymmetric unit:
Y1 0.000 0.000 0.000
Re1 0.250 0.250 0.750
Sb1 0.000 0.000 0.500
Sb2 0.250 0.250 0.250

Calculated values
DOS(E_F) = 8.55 states/eV/cell
calculated volume = 354 Å³/cell

Model z:
Compound: YReSb2
Source: Alexandria
Functional: PBE
Structure: relaxed

a = 3.491 Å, b = 5.048 Å, c = 5.525 Å
α = 90.00°, β = 108.30°, γ = 90.00°
Space group Pm (No. 6)
Asymmetric unit:
Y1 0.000 0.000 0.000
Re1 0.634 0.500 0.270
Sb1 0.355 0.500 0.711
Sb2 0.725 0.000 0.453

Calculated values
DOS(E_F) = 2.74 states/eV/cell
calculated volume = 92 Å³/cell

Stability order, top to bottom: model x, model z, model w, model y

Model w:
Compound: YReSb2
Source: Alexandria
Functional: PBE
Structure: relaxed

a = 4.298 Å, b = 4.298 Å, c = 9.503 Å
α = 90.00°, β = 90.00°, γ = 90.00°
Space group I-4m2 (No. 119)
Asymmetric unit:
Y1 0.000 0.000 0.000
Re1 0.000 0.500 0.750
Sb1 0.000 0.000 0.500
Sb2 0.000 0.500 0.250

Calculated values
DOS(E_F) = 8.65 states/eV/cell
calculated volume = 176 Å³/cell

Model x:
Compound: YReSb2
Source: Alexandria
Functional: PBE
Structure: relaxed

a = 3.4048 Å, b = 3.4048 Å, c = 27.5275 Å
α = 90.00°, β = 90.00°, γ = 120.00°
Space group R-3m (No. 166, hexagonal axes)
Asymmetric unit:
Y1 0.0000 0.0000 0.0000
Re1 0.0000 0.0000 0.5000
Sb1 0.0000 0.0000 0.2362

Calculated values
DOS(E_F) = 11.38 states/eV/cell
calculated volume = 276 Å³/cell

Model y:
Compound: YReSb2
Source: Alexandria
Functional: PBE
Structure: relaxed

a = 3.374 Å, b = 4.208 Å, c = 13.270 Å
α = 90.00°, β = 90.00°, γ = 90.00°
Space group Imm2 (No. 44)
Asymmetric unit:
Y1 0.000 0.000 0.000
Re1 0.000 0.500 0.273
Sb1 0.000 0.000 0.613
Sb2 0.000 0.500 0.835

Calculated values
DOS(E_F) = 7.19 states/eV/cell
calculated volume = 188 Å³/cell

Stability order, top to bottom: model y, model x, model w

Model w:
Compound: YReSb2
Source: Alexandria
Functional: PBE
Structure: relaxed

a = 6.987 Å, b = 6.987 Å, c = 6.987 Å
α = 90.00°, β = 90.00°, γ = 90.00°
Space group Fm-3m (No. 225)
Asymmetric unit:
Y1 0.000 0.000 0.000
Re1 0.000 0.000 0.500
Sb1 0.250 0.250 0.250

Calculated values
DOS(E_F) = 3.03 states/eV/cell
calculated volume = 341 Å³/cell

Model x:
Compound: YReSb2
Source: Alexandria
Functional: PBE
Structure: relaxed

a = 9.413 Å, b = 3.428 Å, c = 6.687 Å
α = 90.00°, β = 112.38°, γ = 90.00°
Space group Cm (No. 8)
Asymmetric unit:
Y1 0.000 0.000 0.000
Re1 0.174 0.500 0.387
Sb1 0.201 0.000 0.728
Sb2 0.382 0.000 0.362

Calculated values
DOS(E_F) = 0.21 states/eV/cell
calculated volume = 200 Å³/cell

Model y:
Compound: YReSb2
Source: Alexandria
Functional: PBE
Structure: relaxed

a = 4.025 Å, b = 4.300 Å, c = 5.110 Å
α = 90.00°, β = 90.00°, γ = 90.00°
Space group Pmmm (No. 47)
Asymmetric unit:
Y1 0.000 0.000 0.000
Re1 0.500 0.000 0.500
Sb1 0.000 0.500 0.500
Sb2 0.500 0.500 0.000

Calculated values
DOS(E_F) = 3.32 states/eV/cell
calculated volume = 88 Å³/cell

Model z:
Compound: YReSb2
Source: Alexandria
Functional: PBE
Structure: relaxed

a = 8.173 Å, b = 3.616 Å, c = 6.465 Å
α = 90.00°, β = 103.34°, γ = 90.00°
Space group C2/m (No. 12)
Asymmetric unit:
Y1 0.000 0.000 0.000
Re1 0.000 0.500 0.500
Sb1 0.238 0.000 0.702

Calculated values
DOS(E_F) = 3.52 states/eV/cell
calculated volume = 186 Å³/cell

Stability order, top to bottom: model x, model z, model w, model y

Model w:
Compound: YReSb2
Source: Alexandria
Functional: PBE
Structure: relaxed

a = 3.556 Å, b = 3.556 Å, c = 7.143 Å
α = 90.00°, β = 90.00°, γ = 90.00°
Space group P4mm (No. 99)
Asymmetric unit:
Y1 0.000 0.000 0.000
Re1 0.500 0.500 0.270
Sb1 0.000 0.000 0.440
Sb2 0.500 0.500 0.734

Calculated values
DOS(E_F) = 1.62 states/eV/cell
calculated volume = 90 Å³/cell

Model x:
Compound: YReSb2
Source: Alexandria
Functional: PBE
Structure: relaxed

a = 3.648 Å, b = 4.486 Å, c = 5.704 Å
α = 90.00°, β = 97.91°, γ = 90.00°
Space group P2/m (No. 10)
Asymmetric unit:
Y1 0.000 0.000 0.000
Re1 0.500 0.000 0.500
Sb1 0.365 0.500 0.738

Calculated values
DOS(E_F) = 2.03 states/eV/cell
calculated volume = 92 Å³/cell

Model y:
Compound: YReSb2
Source: Alexandria
Functional: PBE
Structure: relaxed

a = 3.352 Å, b = 3.352 Å, c = 7.640 Å
α = 90.00°, β = 90.00°, γ = 90.00°
Space group P4/mmm (No. 123)
Asymmetric unit:
Y1 0.000 0.000 0.000
Re1 0.000 0.000 0.500
Sb1 0.500 0.500 0.289

Calculated values
DOS(E_F) = 2.73 states/eV/cell
calculated volume = 86 Å³/cell

Stability order, top to bottom: model y, model w, model x